RbLi3Sc, optimized geometry, DFT PBE-GGA; final energy = -1.6986 eV per atom; D(E_F) = 3.2 states/eV/f.u.
1.0
-4.162 3.133 0.732
0.219 -0.918 5.175
3.210 4.125 0.596
Sc Rb Li
1 1 3
direct
0.500 0.500 0.500
0.000 0.000 0.000
0.000 0.500 0.000
0.000 0.000 0.500
0.500 0.000 0.000